DFT (PBE) results for Ni2Ag2Pd after structural relaxation.

Lattice parameters (Å, degrees): 3.2428 3.2428 15.1818 90.00 90.00 90.00
With the nearest neighbours (Å) after each atom.
Space group I4/mmm (No. 139)
Symmetry-distinct sites (fractional):
Ni1 0.0000 0.5000 0.2500 (multiplicity 4)  4 Ni 2.29
Ag1 0.0000 0.0000 0.1068 (multiplicity 4)  4 Ni 2.71, 4 Pd 2.81
Pd1 0.0000 0.0000 0.5000 (multiplicity 2)  8 Ag 2.81

Output
E_form: 36.6 kJ per mole of atoms
total magnetization: 2.238 Bohr magnetons per cell
excess energy over the best structure of this formula in the dataset: 53 meV/atom

DFT (PBE) results for BiClO after structural relaxation.

Lattice parameters (Å, degrees): 3.7603 3.7603 18.2813 90.00 90.00 90.00
With the nearest neighbours (Å) after each atom.
Space group I4/mmm (No. 139)
Symmetry-distinct sites (fractional):
Bi1 0.0000 0.0000 0.0807 (multiplicity 4)  4 O 2.39
Cl1 0.0000 0.0000 0.3382 (multiplicity 4)  4 Bi 3.04
O1 0.0000 0.5000 0.0000 (multiplicity 4)  4 Bi 2.39, 4 O 2.66

Output
total magnetization: 0.000 Bohr magnetons per cell
excess energy over the best structure of this formula in the dataset: 370 meV/atom

DFT (PBE) results for K4La3GaO8 after structural relaxation.

Lattice parameters (Å, degrees): 12.9053 7.0731 7.4308 90.00 121.58 90.00
With the nearest neighbours (Å) after each atom.
Space group C2/m (No. 12)
Symmetry-distinct sites (fractional):
K1 0.0000 0.0000 0.0000 (multiplicity 2)  2 O 2.57
K2 0.0000 0.5000 0.0000 (multiplicity 2)  4 O 2.78
K3 0.2500 0.2500 0.0000 (multiplicity 4)  6 O 2.76-3.07
La1 0.0000 0.0000 0.5000 (multiplicity 2)  6 O 2.41-2.49
La2 0.2500 0.2500 0.5000 (multiplicity 4)  6 O 2.37-2.55
Ga1 0.0000 0.5000 0.5000 (multiplicity 2)  4 O 2.02
O1 0.0214 0.2925 0.3348 (multiplicity 8)  1 Ga 2.02
O2 0.2193 0.0000 0.6909 (multiplicity 4)  3 La 2.41-2.43
O3 0.2299 0.0000 0.2706 (multiplicity 4)  2 La 2.37, 1 K 2.57

Output
E: -6.18 eV/atom
total magnetization: 0.105 Bohr magnetons per cell

DFT (PBE) results for HoSbIrO6 after structural relaxation.

Lattice parameters (Å, degrees): 5.2884 5.2884 9.0809 90.00 90.00 120.00
With the nearest neighbours (Å) after each atom.
Space group P-31c (No. 163)
Symmetry-distinct sites (fractional):
Ho1 0.3333 0.6667 0.2500 (multiplicity 2)  6 O 2.22
Sb1 0.0000 0.0000 0.0000 (multiplicity 2)  6 O 2.05
Ir1 0.3333 0.6667 0.7500 (multiplicity 2)  6 O 2.04
O1 0.0277 0.3408 0.6208 (multiplicity 12)  1 Ir 2.04, 1 Sb 2.05, 1 Ho 2.22

Output
E: -6.91 eV/atom
total magnetization: 1.549 Bohr magnetons per cell

DFT (PBE) results for PmCo2GeH after structural relaxation.

Lattice parameters (Å, degrees): 3.7918 10.4400 6.8683 90.00 90.00 90.00
With the nearest neighbours (Å) after each atom.
Space group Cmcm (No. 63)
Symmetry-distinct sites (fractional):
Pm1 0.0000 0.0611 0.2500 (multiplicity 4)  4 H 2.64, 1 Ge 2.94
Co1 0.0000 0.3391 0.0571 (multiplicity 8)  1 H 1.72
Ge1 0.0000 0.2204 0.7500 (multiplicity 4)  6 Co 2.39-2.45
H1 0.0000 0.5000 0.0000 (multiplicity 4)  2 Co 1.72

Output
E: -5.80 eV/atom
total magnetization: 1.774 Bohr magnetons per cell

DFT (PBE) results for Tb4Dy5Ho3 after structural relaxation.

Lattice parameters (Å, degrees): 6.1233 7.0717 8.6515 90.04 90.13 90.14
With the nearest neighbours (Å) after each atom.
Space group P-1 (No. 2)
Symmetry-distinct sites (fractional):
Tb1 0.1668 0.0000 0.1668 (multiplicity 2)  5 Dy 3.53-3.54, 4 Tb 3.53-3.54, 3 Ho 3.53-3.54
Tb2 0.3334 0.2503 0.8330 (multiplicity 2)  5 Dy 3.53-3.54, 4 Ho 3.53-3.54, 3 Tb 3.53-3.54
Dy1 0.9995 0.2504 0.5000 (multiplicity 2)  3 Ho 3.52-3.54, 3 Tb 3.53-3.54, 6 Dy 3.53-3.54
Dy2 0.1668 0.5001 0.1669 (multiplicity 2)  4 Ho 3.53-3.54, 5 Tb 3.53-3.54, 3 Dy 3.53
Dy3 0.5000 0.0000 0.5000 (multiplicity 1)  4 Tb 3.53, 4 Dy 3.53-3.54, 4 Ho 3.53-3.54
Ho1 0.3331 0.7496 0.8330 (multiplicity 2)  5 Dy 3.52-3.54, 6 Tb 3.53-3.54, 1 Ho 3.53
Ho2 0.5000 0.5000 0.5000 (multiplicity 1)  8 Dy 3.53-3.54, 2 Tb 3.53, 2 Ho 3.53

Output
E_form: 1.6 kJ per mole of atoms
total magnetization: 0.000 Bohr magnetons per cell
excess energy over the best structure of this formula in the dataset: 0 meV/atom

DFT (PBE) results for IrRh3 after structural relaxation.

Lattice parameters (Å, degrees): 2.7294 2.7294 8.8741 90.00 90.00 120.00
With the nearest neighbours (Å) after each atom.
Space group P-6m2 (No. 187)
Symmetry-distinct sites (fractional):
Ir1 0.0000 0.0000 0.0000 (multiplicity 1)  6 Rh 2.72, 6 Ir 2.73
Rh1 0.0000 0.0000 0.5000 (multiplicity 1)  12 Rh 2.73
Rh2 0.3333 0.6667 0.2494 (multiplicity 2)  3 Ir 2.72, 9 Rh 2.73

Output
E_form: 3.7 kJ per mole of atoms
total magnetization: 0.000 Bohr magnetons per cell

DFT (PBE) results for TlAgS2 after structural relaxation.

Lattice parameters (Å, degrees): 4.2590 8.4840 5.9018 90.00 90.00 90.00
With the nearest neighbours (Å) after each atom.
Space group Pmn2_1 (No. 31)
Symmetry-distinct sites (fractional):
Tl1 0.0000 0.1413 0.0000 (multiplicity 2)  4 S 2.50-2.67
Ag1 0.0000 0.6128 0.9716 (multiplicity 2)  4 S 2.52-2.65
S1 0.0000 0.3828 0.2431 (multiplicity 2)  1 Tl 2.50, 3 Ag 2.52
S2 0.0000 0.8697 0.2263 (multiplicity 2)  1 Ag 2.65, 3 Tl 2.66-2.67

Output
E: -3.47 eV/atom
total magnetization: 0.000 Bohr magnetons per cell

DFT (PBE) results for Pm2Al5Ni4 after structural relaxation.

Lattice parameters (Å, degrees): 5.3418 9.2500 15.2067 90.00 90.00 90.00
With the nearest neighbours (Å) after each atom.
Space group Fmmm (No. 69)
Symmetry-distinct sites (fractional):
Pm1 0.0000 0.0000 0.1334 (multiplicity 8)  6 Ni 3.04-3.18, 10 Al 3.21-3.35
Al1 0.0000 0.0000 0.5000 (multiplicity 4)  4 Ni 2.45, 4 Al 2.67
Al2 0.2500 0.2500 0.0000 (multiplicity 8)  4 Ni 2.54, 4 Al 2.67
Al3 0.2500 0.2500 0.2500 (multiplicity 8)  4 Ni 2.42, 2 Al 2.67
Ni1 0.0000 0.1563 0.3697 (multiplicity 16)  5 Al 2.42-2.54

Output
E_form: -53.5 kJ per mole of atoms
total magnetization: 0.000 Bohr magnetons per cell

DFT (PBE) results for Pm5NdAl2 after structural relaxation.

Lattice parameters (Å, degrees): 3.6977 10.5926 12.4184 90.00 90.00 90.00
With the nearest neighbours (Å) after each atom.
Space group Immm (No. 71)
Symmetry-distinct sites (fractional):
Pm1 0.0000 0.0000 0.0000 (multiplicity 2)  2 Al 3.37, 10 Pm 3.44-3.70
Pm2 0.0000 0.2817 0.3585 (multiplicity 8)  3 Al 3.17-3.37, 5 Pm 3.34-3.51
Nd1 0.0000 0.5000 0.0000 (multiplicity 2)  4 Al 3.39, 2 Nd 3.70
Al1 0.0000 0.0000 0.2712 (multiplicity 4)  7 Pm 3.17-3.37, 2 Nd 3.39

Output
E_form: -7.2 kJ per mole of atoms
total magnetization: 0.000 Bohr magnetons per cell
excess energy over the best structure of this formula in the dataset: 0 meV/atom

DFT (PBE) results for SrHfPd after structural relaxation.

Lattice parameters (Å, degrees): 4.7098 4.7098 7.4967 90.00 90.00 90.00
With the nearest neighbours (Å) after each atom.
Space group P4/nmm (No. 129, origin choice 2)
Symmetry-distinct sites (fractional):
Sr1 0.2500 0.2500 0.1388 (multiplicity 2)  5 Pd 3.47-3.61, 4 Hf 3.59
Hf1 0.2500 0.7500 0.5000 (multiplicity 2)  4 Pd 2.70
Pd1 0.2500 0.2500 0.6766 (multiplicity 2)  4 Hf 2.70

Output
E_form: -37.8 kJ per mole of atoms
total magnetization: 0.000 Bohr magnetons per cell

DFT (PBE) results for LiSiW2 after structural relaxation.

Lattice parameters (Å, degrees): 3.1710 4.3825 8.7282 90.00 90.00 90.00
With the nearest neighbours (Å) after each atom.
Space group Cmmm (No. 65)
Symmetry-distinct sites (fractional):
Li1 0.0000 0.0000 0.0000 (multiplicity 2)  4 Li 2.70, 4 W 2.83
Si1 0.0000 0.0000 0.5000 (multiplicity 2)  4 W 2.57, 4 Si 2.70
W1 0.0000 0.5000 0.2686 (multiplicity 4)  2 Si 2.57, 4 W 2.70, 2 Li 2.83

Output
E: -7.99 eV/atom
total magnetization: 0.000 Bohr magnetons per cell